# 1
## Al2CdCo2 (SCAN)

Data for a PBEsol-optimized structure of Al2CdCo2. Values from VASP.

The structure in Quantum ESPRESSO input format:
```
&SYSTEM
  ibrav = 0, nat = 5, ntyp = 3
/
ATOMIC_SPECIES
Al 26.98 Al.upf
Cd 112.41 Cd.upf
Co 58.93 Co.upf
ATOMIC_POSITIONS crystal
Al 0.132 0.132 0.000
Al 0.868 0.868 0.000
Cd 0.500 0.500 0.000
Co 0.250 0.750 0.500
Co 0.750 0.250 0.500
CELL_PARAMETERS angstrom
-1.979 1.979 4.799
1.979 -1.979 4.799
1.979 1.979 -4.799
```

- E above lowest polymorph: 0.098 eV/atom
- Symmetry: I4/mmm, No. 139
- DFT total energy: -15.9097 eV per atom
- Theoretical density: 6.276 g cm⁻³
- Calculated formation energy: 196 meV/atom
- V: 15.04 Å³/atom
- Crystal system: tetragonal

# 2
## ScCr2Sb (SCAN)

Data for a PBEsol-optimized structure of ScCr2Sb. Values from VASP.

The structure in Quantum ESPRESSO input format:
```
&SYSTEM
  ibrav = 0, nat = 4, ntyp = 3
/
ATOMIC_SPECIES
Sc 44.96 Sc.upf
Cr 52.00 Cr.upf
Sb 121.76 Sb.upf
ATOMIC_POSITIONS crystal
Sc 0.000 0.000 0.000
Cr 0.250 0.250 0.250
Cr 0.500 0.500 0.500
Sb 0.750 0.750 0.750
CELL_PARAMETERS angstrom
0.000 3.216 3.216
3.216 0.000 3.216
3.216 3.216 0.000
```

- Symmetry: F-43m, No. 216
- DFT total energy: -22.1729 eV per atom
- Theoretical density: 6.759 g cm⁻³
- Formation energy from raw total energies: -0.106 eV per atom
- V: 16.63 Å³/atom
- Crystal system: cubic